First-principles (GGA-PBE) data for CaPrGaIr after structural relaxation, as listed in the Alexandria database.

Computed properties:
theoretical density = 7.39 g/cm³
distance to the lowest polymorph of the same formula = 0.0 meV/atom
formation energy = -563 meV per atom
spin magnetization = 0.00 μB/cell

The structure in CIF format:
```
data_CaPrGaIr
_cell_length_a 4.109
_cell_length_b 4.235
_cell_length_c 11.442
_cell_angle_alpha 90.00
_cell_angle_beta 90.00
_cell_angle_gamma 90.00
_symmetry_space_group_name_H-M 'A m m 2'
_symmetry_Int_Tables_number 38
loop_
_symmetry_equiv_pos_as_xyz
'x,y,z'
'-x,-y,z'
'-x,y,z'
'x,-y,z'
'x,y+1/2,z+1/2'
'-x,-y+1/2,z+1/2'
'-x,y+1/2,z+1/2'
'x,-y+1/2,z+1/2'
loop_
_atom_site_label
_atom_site_fract_x
_atom_site_fract_y
_atom_site_fract_z
_atom_site_occupancy
Ca1 0.000 0.000 0.000 1
Pr1 0.500 0.000 0.714 1
Ga1 0.500 0.000 0.418 1
Ir1 0.000 0.000 0.282 1
```